[1]
The following is a DFT calculation (GGA-PBEsol) of a relaxed CdInTe3 crystal.

Crystal system: cubic
Formation energy from raw total energies (meV/atom): 330.8

Geometry as POSCAR:
```
CdInTe3
1.0
5.5362 0.0000 0.0000
0.0000 5.5362 0.0000
0.0000 0.0000 5.5362
Te Cd In
3 1 1
Direct
0.0000 0.0000 0.5000 Te
0.5000 0.0000 0.0000 Te
0.0000 0.5000 0.0000 Te
0.0000 0.0000 0.0000 Cd
0.5000 0.5000 0.5000 In
```


[2]
The following is a DFT calculation (GGA-PBEsol) of a relaxed CdInTe crystal.

Distance to the lowest polymorph of the same formula (meV per atom): 60
Crystal system: orthorhombic
Formation energy from raw total energies (meV/atom): 59.5

Geometry as POSCAR:
```
CdInTe
1.0
-2.6978 -0.6720 -1.5174
1.5952 -2.7307 0.1772
-3.0049 0.0806 7.7104
Te In Cd
1 1 1
Direct
0.3375 0.3375 0.6751 Te
0.6608 0.6608 0.3216 In
0.0017 0.0017 0.0033 Cd
```